Below is a relaxed structure of Tb6Sm5Y2, with properties calculated at the PBE-GGA level.

Summary:
The total magnetization comes out at 0.0 Bohr magnetons per cell. The space group is Pbam. As for the calculated formation energy: 0.093 eV per atom. For the density of states at the Fermi level, the calculation gives 15.970 states/eV/f.u.

Cell lengths 11.717, 20.503, 3.599 Å; angles 90.00, 90.00, 90.00 degrees
Sites, in units of the cell vectors:
Tb (0.060, 0.081, 0.000)
Tb (0.081, 0.368, 0.000)
Tb (0.175, 0.636, 0.500)
Tb (0.325, 0.136, 0.500)
Tb (0.419, 0.868, 0.000)
Tb (0.440, 0.581, 0.000)
Tb (0.560, 0.419, 0.000)
Tb (0.581, 0.132, 0.000)
Tb (0.675, 0.864, 0.500)
Tb (0.825, 0.364, 0.500)
Tb (0.919, 0.632, 0.000)
Tb (0.940, 0.919, 0.000)
Sm (0.000, 0.500, 0.500)
Sm (0.089, 0.226, 0.500)
Sm (0.199, 0.949, 0.500)
Sm (0.301, 0.449, 0.500)
Sm (0.411, 0.726, 0.500)
Sm (0.500, 0.000, 0.500)
Sm (0.589, 0.274, 0.500)
Sm (0.699, 0.551, 0.500)
Sm (0.801, 0.051, 0.500)
Sm (0.911, 0.774, 0.500)
Y (0.169, 0.789, 0.000)
Y (0.331, 0.289, 0.000)
Y (0.669, 0.711, 0.000)
Y (0.831, 0.211, 0.000)